This record from Alexandria describes a relaxed Mg2Zn2P crystal. The functional is GGA-PBE.

Cell: 6.5479 6.5479 4.1888 Å, 90.00 90.00 90.00°
Closest atoms and distances in Å follow each position.
Space group P4/mbm (No. 127)
Inequivalent atoms, fractional coordinates:
Mg (0.1676, 0.3324, 0.0000) (multiplicity 4)  6 Zn 2.78-2.89, 1 Mg 3.10
Zn (0.1355, 0.6355, 0.5000) (multiplicity 4)  1 Zn 2.51, 2 P 2.55, 2 Mg 2.78
P (0.0000, 0.0000, 0.5000) (multiplicity 2)  4 Zn 2.55

Output
Total magnetic moment   0.00 μB/cell
E_form   -0.04 eV per atom
Volume   179.60 Å³/cell
N(E_F)   1.89 states/eV/f.u.

This record from Alexandria describes a relaxed OsRh2N10Cl10 crystal. The functional is GGA-PBE.

Cell: 12.2201 9.2053 10.9308 Å, 90.00 94.36 90.00°
Closest atoms and distances in Å follow each position.
Space group C2/m (No. 12)
Inequivalent atoms, fractional coordinates:
Os (0.0000, 0.0000, 0.0000) (multiplicity 2)  6 Cl 2.32-2.38
Rh (0.1488, 0.5000, 0.1551) (multiplicity 4)  5 N 1.91-2.09
N (0.0044, 0.5000, 0.2110) (multiplicity 4)  1 Cl 1.65
N (0.1099, 0.3190, 0.0562) (multiplicity 8)  1 Cl 1.54
N (0.2273, 0.3632, 0.2868) (multiplicity 8)  1 Cl 1.57
Cl (0.0000, 0.2589, 0.0000) (multiplicity 4)  2 N 1.54
Cl (0.0132, 0.5000, 0.6406) (multiplicity 4)  1 N 1.65
Cl (0.0226, 0.0000, 0.2129) (multiplicity 4)  1 Os 2.32
Cl (0.1940, 0.0000, 0.9973) (multiplicity 4)  1 Os 2.37, 1 Rh 2.64
Cl (0.2257, 0.0000, 0.6407) (multiplicity 4)  2 N 1.57

Output
Total magnetic moment   5.13 μB/cell
Energy relative to the elements, uncorrected   1.135 eV/atom
Volume   1226.05 Å³/cell
N(E_F)   10.19 states/eV/f.u.